Density functional theory data (PBEsol) for an optimized crystal structure of TiTePO2.

Cell lengths 3.9480, 3.9480, 5.2972 Å; angles 90.00, 90.00, 90.00 degrees
Sites, in units of the cell vectors:
1 P 0.0000 0.0000 0.5000
2 Te 0.0000 0.0000 0.0000
3 O 0.0000 0.5000 0.0000
4 O 0.5000 0.0000 0.0000
5 Ti 0.5000 0.5000 0.5000

Calculated values
The calculation puts the magnetic moment at 0.29 μB per atom. The value obtained for the raw formation energy is -1.3 eV/f.u. The mass density is 4796 kg/m³.

Density functional theory data (PBEsol) for an optimized crystal structure of MnCrAs2.

Cell lengths 6.7628, 6.7628, 5.5604 Å; angles 127.45, 127.45, 90.00 degrees
Sites, in units of the cell vectors:
1 Cr 0.7500 0.2500 0.5000
2 Cr 0.5000 0.5000 0.0000
3 As 0.3712 0.8750 0.2500
4 As 0.8788 0.3750 0.2500
5 As 0.1250 0.1212 0.7500
6 As 0.6250 0.6288 0.7500
7 Mn 0.2500 0.7500 0.5000
8 Mn 0.0000 0.0000 0.0000

Calculated values
The calculation puts the magnetic moment at 1.66 μB per atom. The formation energy comes out at 7.0 kcal/mol of atoms. The mass density is 6572 kg/m³.

Calculated V (Å³ per cell), listed in the same order as above: 83 130